[1]
Entry from OQMD: crystalline Mg2Zn2SiSn at its relaxed geometry (GGA-PBE).

Unit cell a=10.766 b=4.426 c=10.780 alpha=90.00 beta=109.42 gamma=90.00
Positions (direct):
Mg1 0.000 0.000 0.000
Mg2 0.109 0.500 0.360
Mg3 0.238 0.000 0.732
Mg4 0.385 0.500 0.124
Mg5 0.512 0.000 0.515
Mg6 0.628 0.500 0.878
Mg7 0.743 0.000 0.250
Mg8 0.871 0.500 0.641
Zn1 0.105 0.500 0.604
Zn2 0.267 0.000 0.994
Zn3 0.375 0.500 0.378
Zn4 0.509 0.000 0.767
Zn5 0.631 0.500 0.121
Zn6 0.768 0.000 0.515
Zn7 0.871 0.500 0.887
Zn8 0.983 0.000 0.243
Si1 0.509 0.000 0.005
Si2 0.754 0.000 0.759
Si3 0.870 0.500 0.125
Si4 0.996 0.000 0.492
Sn1 0.127 0.500 0.872
Sn2 0.248 0.000 0.247
Sn3 0.375 0.500 0.630
Sn4 0.631 0.500 0.381

Summary:
- electronic total energy (eV/atom) = -2.526



[2]
Entry from OQMD: crystalline RbHg3MoS4 at its relaxed geometry (GGA-PBE).

Unit cell a=7.256 b=7.256 c=7.256 alpha=90.00 beta=90.00 gamma=90.00
Positions (direct):
Rb1 0.000 0.000 0.000
Hg1 0.000 0.500 0.500
Hg2 0.500 0.000 0.500
Hg3 0.500 0.500 0.000
Mo1 0.500 0.500 0.500
S1 0.322 0.322 0.322
S2 0.322 0.678 0.678
S3 0.678 0.322 0.678
S4 0.678 0.678 0.322

Summary:
- electronic total energy (eV/atom) = -3.492



[3]
Entry from OQMD: crystalline CsPtAu at its relaxed geometry (GGA-PBE).

Unit cell a=7.070 b=7.070 c=7.070 alpha=90.00 beta=90.00 gamma=90.00
Positions (direct):
Cs1 0.000 0.000 0.000
Cs2 0.000 0.500 0.500
Cs3 0.500 0.000 0.500
Cs4 0.500 0.500 0.000
Pt1 0.250 0.250 0.750
Pt2 0.250 0.750 0.250
Pt3 0.750 0.250 0.250
Pt4 0.750 0.750 0.750
Au1 0.000 0.000 0.500
Au2 0.000 0.500 0.000
Au3 0.500 0.000 0.000
Au4 0.500 0.500 0.500

Summary:
- electronic total energy (eV/atom) = -2.838
- ΔE to the lowest computed polymorph (eV per atom) = 0.000